[1]
## LaHo2Al (PBE-GGA)

Data for an optimized crystal structure of LaHo2Al.

Unit cell a=5.346 b=6.961 c=6.961 alpha=120.26 beta=90.00 gamma=90.00
Sites, in units of the cell vectors:
Al 0.000 0.324 0.676
Al 0.500 0.669 0.331
La 0.500 0.642 0.814
La 0.500 0.186 0.358
Ho 0.000 0.827 0.649
Ho 0.500 0.175 0.825
Ho 0.000 0.351 0.173
Ho 0.000 0.826 0.174

Computed properties:
- formation enthalpy at 0 K (eV per atom) = -0.18
- excess energy over the best structure of this formula in the dataset (kcal/mol of atoms) = 0.288

---

[2]
## La2Ho8Al (PBE-GGA)

Data for an optimized crystal structure of La2Ho8Al.

Unit cell a=5.388 b=6.771 c=9.770 alpha=93.56 beta=106.01 gamma=90.00
Sites, in units of the cell vectors:
Al 0.500 0.000 0.000
Ho 0.347 0.097 0.693
Ho 0.414 0.590 0.828
Ho 0.586 0.410 0.172
Ho 0.966 0.242 0.932
Ho 0.653 0.903 0.307
Ho 0.843 0.830 0.686
Ho 0.157 0.170 0.314
Ho 0.034 0.758 0.068
La 0.778 0.335 0.555
La 0.222 0.665 0.445

Computed properties:
- formation enthalpy at 0 K (eV per atom) = -0.02

---

[3]
## La5HoAl2 (PBE-GGA)

Data for an optimized crystal structure of La5HoAl2.

Unit cell a=5.486 b=5.486 c=20.393 alpha=90.00 beta=90.00 gamma=120.00
Sites, in units of the cell vectors:
La 0.667 0.333 0.446
La 0.667 0.333 0.250
La 0.333 0.667 0.554
La 0.333 0.667 0.946
La 0.333 0.667 0.750
La 0.667 0.333 0.054
La 0.000 0.000 0.654
La 0.000 0.000 0.346
La 0.000 0.000 0.154
La 0.000 0.000 0.846
Ho 0.667 0.333 0.750
Ho 0.333 0.667 0.250
Al 0.333 0.667 0.103
Al 0.667 0.333 0.897
Al 0.667 0.333 0.603
Al 0.333 0.667 0.397

Computed properties:
- formation enthalpy at 0 K (eV per atom) = -0.07

---

[4]
## LaHo4Al (PBE-GGA)

Data for an optimized crystal structure of LaHo4Al.

Unit cell a=6.213 b=8.980 c=8.218 alpha=113.98 beta=100.12 gamma=111.73
Sites, in units of the cell vectors:
La 0.349 0.599 0.198
La 0.651 0.401 0.802
Ho 0.034 0.164 0.776
Ho 0.242 0.612 0.776
Ho 0.630 0.081 0.364
Ho 0.766 0.717 0.636
Ho 0.234 0.283 0.364
Ho 0.758 0.388 0.224
Ho 0.966 0.836 0.224
Ho 0.370 0.919 0.636
Al 0.249 0.999 0.999
Al 0.751 0.001 0.001

Computed properties:
- formation enthalpy at 0 K (eV per atom) = -0.04
- excess energy over the best structure of this formula in the dataset (kcal/mol of atoms) = 1.545

---

[5]
## LaHoAl2 (PBE-GGA)

Data for an optimized crystal structure of LaHoAl2.

Unit cell a=3.693 b=3.693 c=7.383 alpha=90.00 beta=90.00 gamma=90.00
Sites, in units of the cell vectors:
La 0.500 0.500 0.500
Ho 0.500 0.500 0.000
Al 0.000 0.000 0.225
Al 0.000 0.000 0.775

Computed properties:
- formation enthalpy at 0 K (eV per atom) = -0.38

---

[6]
## LaHo2Al (PBE-GGA)

Data for an optimized crystal structure of LaHo2Al.

Unit cell a=3.470 b=3.470 c=11.627 alpha=81.42 beta=81.42 gamma=60.00
Sites, in units of the cell vectors:
Ho 0.899 0.899 0.303
Ho 0.101 0.101 0.697
Al 0.500 0.500 0.500
La 0.000 0.000 0.000

Computed properties:
- formation enthalpy at 0 K (eV per atom) = 0.05
- excess energy over the best structure of this formula in the dataset (kcal/mol of atoms) = 5.503

---

[7]
## LaHo2Al9 (PBE-GGA)

Data for an optimized crystal structure of LaHo2Al9.

Unit cell a=5.615 b=5.615 c=9.363 alpha=72.55 beta=72.55 gamma=60.00
Sites, in units of the cell vectors:
Al 0.077 0.588 0.747
Al 0.336 0.336 0.993
Al 0.412 0.923 0.253
Al 0.412 0.412 0.253
Al 0.500 0.500 0.500
Al 0.588 0.077 0.747
Al 0.664 0.664 0.007
Al 0.588 0.588 0.747
Al 0.923 0.412 0.253
Ho 0.142 0.142 0.575
Ho 0.858 0.858 0.425
La 0.000 0.000 0.000

Computed properties:
- formation enthalpy at 0 K (eV per atom) = -0.41

---

[8]
## La14HoAl (PBE-GGA)

Data for an optimized crystal structure of La14HoAl.

Unit cell a=7.299 b=7.299 c=10.352 alpha=90.00 beta=90.00 gamma=90.03
Sites, in units of the cell vectors:
La 0.616 0.866 0.241
La 0.375 0.625 0.500
La 0.134 0.866 0.240
La 0.616 0.384 0.759
La 0.875 0.125 0.500
La 0.134 0.384 0.241
La 0.134 0.866 0.760
La 0.134 0.384 0.759
La 0.375 0.125 0.500
La 0.375 0.125 0.000
La 0.616 0.384 0.241
La 0.875 0.625 0.000
La 0.875 0.625 0.500
La 0.616 0.866 0.759
Ho 0.875 0.125 0.000
Al 0.375 0.625 0.000

Computed properties:
- formation enthalpy at 0 K (eV per atom) = -0.03

---

[9]
## La4Ho4Al (PBE-GGA)

Data for an optimized crystal structure of La4Ho4Al.

Unit cell a=6.368 b=11.212 c=7.728 alpha=136.50 beta=114.33 gamma=90.00
Sites, in units of the cell vectors:
Al 0.000 0.000 0.000
La 0.500 0.000 0.000
La 0.667 0.667 0.333
La 0.000 0.500 0.000
La 0.333 0.333 0.667
Ho 0.354 0.381 0.279
Ho 0.075 0.619 0.721
Ho 0.925 0.898 0.279
Ho 0.646 0.102 0.721

Computed properties:
- formation enthalpy at 0 K (eV per atom) = 0.24

---

[10]
## LaHoAl2 (PBE-GGA)

Data for an optimized crystal structure of LaHoAl2.

Unit cell a=4.751 b=6.797 c=7.047 alpha=90.00 beta=90.00 gamma=110.46
Sites, in units of the cell vectors:
Al 0.601 0.203 0.064
Al 0.601 0.203 0.436
Al 0.399 0.797 0.936
Al 0.399 0.797 0.564
La 0.064 0.128 0.750
La 0.936 0.872 0.250
Ho 0.781 0.562 0.750
Ho 0.219 0.438 0.250

Computed properties:
- formation enthalpy at 0 K (eV per atom) = -0.38

---

[11]
## LaHo5Al4 (PBE-GGA)

Data for an optimized crystal structure of LaHo5Al4.

Unit cell a=3.563 b=3.563 c=19.862 alpha=90.00 beta=90.00 gamma=90.00
Sites, in units of the cell vectors:
Al 0.000 0.000 0.774
Al 0.000 0.000 0.591
Al 0.000 0.000 0.409
Al 0.000 0.000 0.226
Ho 0.500 0.500 0.135
Ho 0.500 0.500 0.681
Ho 0.500 0.500 0.500
Ho 0.500 0.500 0.865
Ho 0.500 0.500 0.319
La 0.000 0.000 0.000

Computed properties:
- formation enthalpy at 0 K (eV per atom) = -0.31

---

[12]
## LaHo2Al2 (PBE-GGA)

Data for an optimized crystal structure of LaHo2Al2.

Unit cell a=4.602 b=4.602 c=13.995 alpha=99.46 beta=99.46 gamma=90.00
Last column: magnetic moment on the atom in μB.
Sites, in units of the cell vectors:
Al 0.824 0.824 0.648  0.00
Al 0.176 0.176 0.352  0.00
Al 0.000 0.500 0.000  0.00
Al 0.500 0.000 0.000  0.00
Ho 0.250 0.750 0.500  0.32
Ho 0.069 0.069 0.139  0.15
Ho 0.750 0.250 0.500  0.32
Ho 0.931 0.931 0.861  0.15
La 0.627 0.627 0.254  0.15
La 0.373 0.373 0.746  0.15

Computed properties:
- formation enthalpy at 0 K (eV per atom) = -0.07

---

Question: What is the formula in the third record?
Answer: La5HoAl2

---

Question: What is the formula in the second record?
Answer: La2Ho8Al

---

Question: Which formula does entry 12 have?
Answer: LaHo2Al2

---

Question: formation enthalpy at 0 K of number 1 (LaHo2Al)?
Answer: -0.18 eV per atom